# 1
First-principles (PBE) data for a relaxed structure of Y2Cd3Sn3, as listed in the Alexandria database.

Output
**Size of the total moment**: 0.000 Bohr magnetons per cell
**Energy of formation from the pure elements**: -445 meV per atom
**Electronic total energy**: -3.91 eV/atom
**Space-group type**: Pmmm (47)

Cell lengths 4.6135, 4.7862, 8.9189 Å; angles 90.00, 90.00, 90.00 degrees
Last column: nearest neighbours and their distance in Å.
Sites, in units of the cell vectors:
Y 0.0000 0.0000 0.2449  6 Sn 3.18-3.24, 6 Cd 3.30-3.33
Y 0.0000 0.0000 0.7551  6 Sn 3.18-3.24, 6 Cd 3.30-3.33
Cd 0.0000 0.5000 0.5000  4 Cd 3.15, 4 Y 3.30, 4 Sn 3.32
Cd 0.5000 0.5000 0.2598  2 Cd 3.15, 6 Sn 3.21-3.33, 4 Y 3.33
Cd 0.5000 0.5000 0.7402  2 Cd 3.15, 6 Sn 3.21-3.33, 4 Y 3.33
Sn 0.0000 0.5000 0.0000  4 Y 3.24, 4 Cd 3.27, 4 Sn 3.32
Sn 0.5000 0.0000 0.0000  4 Y 3.18, 4 Sn 3.32, 4 Cd 3.33
Sn 0.5000 0.0000 0.5000  8 Cd 3.21-3.32, 4 Y 3.24

=====

# 2
First-principles (PBE) data for a relaxed structure of ErLu3S, as listed in the Alexandria database.

Output
**Raw formation energy**: -579.6 meV per atom
**Size of the total moment**: 1.850 Bohr magnetons per cell
**Electronic total energy**: -5.03 eV/atom
**Space-group type**: Pm-3m (221)

Cell lengths 5.1853, 5.1853, 5.1853 Å; angles 90.00, 90.00, 90.00 degrees
Last column: nearest neighbours and their distance in Å.
Sites, in units of the cell vectors:
Er 0.0000 0.0000 0.0000  12 Lu 3.67
Lu 0.0000 0.5000 0.5000  2 S 2.59
Lu 0.5000 0.0000 0.5000  2 S 2.59
Lu 0.5000 0.5000 0.0000  2 S 2.59
S 0.5000 0.5000 0.5000  6 Lu 2.59

=====

# 3
First-principles (PBE) data for a relaxed structure of Y2CdGa2Pd5, as listed in the Alexandria database.

Output
**Size of the total moment**: 0.000 Bohr magnetons per cell
**Energy of formation from the pure elements**: -709 meV per atom
**Electronic total energy**: -5.29 eV/atom
**Space-group type**: P4/mbm (127)

Cell lengths 9.8819, 9.8819, 3.7927 Å; angles 90.00, 90.00, 90.00 degrees
Last column: nearest neighbours and their distance in Å.
Sites, in units of the cell vectors:
Y 0.1766 0.3234 0.0000  3 Ga 2.82-3.00, 2 Pd 3.11
Y 0.3234 0.8234 0.0000  3 Ga 2.82-3.00, 2 Pd 3.11
Y 0.6766 0.1766 0.0000  3 Ga 2.82-3.00, 2 Pd 3.11
Y 0.8234 0.6766 0.0000  3 Ga 2.82-3.00, 2 Pd 3.11
Cd 0.0000 0.0000 0.0000  8 Pd 2.89
Cd 0.5000 0.5000 0.0000  8 Pd 2.89
Ga 0.1215 0.6215 0.0000  6 Pd 2.55-2.58, 1 Y 2.82
Ga 0.3785 0.1215 0.0000  6 Pd 2.55-2.58, 1 Y 2.82
Ga 0.6215 0.8785 0.0000  6 Pd 2.55-2.58, 1 Y 2.82
Ga 0.8785 0.3785 0.0000  6 Pd 2.55-2.58, 1 Y 2.82
Pd 0.0000 0.5000 0.5000  4 Ga 2.55
Pd 0.0656 0.7891 0.5000  2 Ga 2.58
Pd 0.2109 0.0656 0.5000  2 Ga 2.58
Pd 0.2891 0.5656 0.5000  2 Ga 2.58
Pd 0.4344 0.2891 0.5000  2 Ga 2.58
Pd 0.5000 0.0000 0.5000  4 Ga 2.55
Pd 0.5656 0.7109 0.5000  2 Ga 2.58
Pd 0.7109 0.4344 0.5000  2 Ga 2.58
Pd 0.7891 0.9344 0.5000  2 Ga 2.58
Pd 0.9344 0.2109 0.5000  2 Ga 2.58

=====

# 4
First-principles (PBE) data for a relaxed structure of CuSn2Pd, as listed in the Alexandria database.

Output
**Polymorph energy (0 for the lowest one)**: 1.48 eV per formula unit
**Size of the total moment**: 0.000 Bohr magnetons per cell
**Energy of formation from the pure elements**: 128 meV per atom
**Electronic total energy**: -4.20 eV/atom
**Space-group type**: R-3m (166)

Cell lengths 9.4901, 9.4901, 9.4901 Å; angles 19.55, 19.55, 19.55 degrees
Last column: nearest neighbours and their distance in Å.
Sites, in units of the cell vectors:
Cu 0.0000 0.0000 0.0000  6 Sn 2.77
Sn 0.4066 0.4066 0.4066  1 Pd 2.61, 3 Cu 2.77
Sn 0.5934 0.5934 0.5934  1 Pd 2.61, 3 Cu 2.77
Pd 0.5000 0.5000 0.5000  2 Sn 2.61

=====

# 5
First-principles (PBE) data for a relaxed structure of NaSrPm2Se4, as listed in the Alexandria database.

Output
**Raw formation energy**: -1814.3 meV per atom
**Size of the total moment**: 0.000 Bohr magnetons per cell
**Electronic total energy**: -5.12 eV/atom
**Space-group type**: P2/m (10)

Cell lengths 7.3271, 4.2504, 7.5514 Å; angles 90.00, 108.93, 90.00 degrees
Last column: nearest neighbours and their distance in Å.
Sites, in units of the cell vectors:
Na 0.0000 0.0000 0.0000  6 Se 3.06-3.08
Sr 0.5000 0.5000 0.0000  6 Se 3.09
Pm 0.0000 0.5000 0.5000  6 Se 2.97-2.98
Pm 0.5000 0.0000 0.5000  6 Se 2.98-3.00
Se 0.2435 0.0000 0.7390  3 Pm 2.98-3.00, 1 Na 3.06, 2 Sr 3.09
Se 0.2527 0.5000 0.2627  3 Pm 2.97-2.98, 2 Na 3.08, 1 Sr 3.09
Se 0.7473 0.5000 0.7373  3 Pm 2.97-2.98, 2 Na 3.08, 1 Sr 3.09
Se 0.7565 0.0000 0.2610  3 Pm 2.98-3.00, 1 Na 3.06, 2 Sr 3.09

=====

# 6
First-principles (PBE) data for a relaxed structure of TaFe2Ir, as listed in the Alexandria database.

Output
**Polymorph energy (0 for the lowest one)**: 0.85 eV per formula unit
**Size of the total moment**: 4.848 Bohr magnetons per cell
**Energy of formation from the pure elements**: -58 meV per atom
**Electronic total energy**: -9.47 eV/atom
**Space-group type**: C2/m (12)

Cell lengths 5.0122, 5.0122, 2.7262 Å; angles 101.01, 101.01, 116.68 degrees
Last column: nearest neighbours and their distance in Å.
Sites, in units of the cell vectors:
Ta 0.0000 0.0000 0.0000  4 Fe 2.61, 2 Ir 2.63, 2 Ta 2.73
Fe 0.0000 0.5000 0.5000  2 Ta 2.61, 2 Ir 2.61, 4 Fe 2.63-2.73
Fe 0.5000 0.0000 0.5000  2 Ta 2.61, 2 Ir 2.61, 4 Fe 2.63-2.73
Ir 0.5000 0.5000 0.0000  4 Fe 2.61, 2 Ta 2.63, 2 Ir 2.73

=====

# 7
First-principles (PBE) data for a relaxed structure of U5CN4, as listed in the Alexandria database.

Output
**Raw formation energy**: -1082.1 meV per atom
**Size of the total moment**: 5.426 Bohr magnetons per cell
**Electronic total energy**: -10.98 eV/atom
**Space-group type**: Immm (71)

Cell lengths 9.1197, 9.1197, 9.1197 Å; angles 158.11, 148.94, 38.32 degrees
Last column: nearest neighbours and their distance in Å.
Sites, in units of the cell vectors:
U 0.0000 0.0000 0.0000  2 C 2.44, 4 N 2.44
U 0.1997 0.1997 0.0000  6 N 2.42-2.44
U 0.3983 0.3983 0.0000  4 N 2.44, 2 C 2.46
U 0.6017 0.6017 0.0000  4 N 2.44, 2 C 2.46
U 0.8003 0.8003 0.0000  6 N 2.42-2.44
C 0.5000 0.0000 0.5000  6 U 2.44-2.46
N 0.1000 0.6000 0.5000  6 U 2.44
N 0.2982 0.7982 0.5000  6 U 2.42-2.44
N 0.7018 0.2018 0.5000  6 U 2.42-2.44
N 0.9000 0.4000 0.5000  6 U 2.44

=====

# 8
First-principles (PBE) data for a relaxed structure of KAgO3, as listed in the Alexandria database.

Output
**Raw formation energy**: -59.2 meV per atom
**Size of the total moment**: 1.584 Bohr magnetons per cell
**Electronic total energy**: -3.82 eV/atom
**Space-group type**: Pm-3m (221)

Cell lengths 4.1124, 4.1124, 4.1124 Å; angles 90.00, 90.00, 90.00 degrees
Last column: nearest neighbours and their distance in Å.
Sites, in units of the cell vectors:
K 0.0000 0.0000 0.0000  12 O 2.91
Ag 0.5000 0.5000 0.5000  6 O 2.06
O 0.0000 0.5000 0.5000  2 Ag 2.06
O 0.5000 0.0000 0.5000  2 Ag 2.06
O 0.5000 0.5000 0.0000  2 Ag 2.06

=====

# 9
First-principles (PBE) data for a relaxed structure of AlCd2P, as listed in the Alexandria database.

Output
**Polymorph energy (0 for the lowest one)**: 1.37 eV per formula unit
**Size of the total moment**: 0.000 Bohr magnetons per cell
**Energy of formation from the pure elements**: 302 meV per atom
**Electronic total energy**: -2.44 eV/atom
**Space-group type**: P4/mmm (123)

Cell lengths 3.0665, 3.0665, 8.4040 Å; angles 90.00, 90.00, 90.00 degrees
Last column: nearest neighbours and their distance in Å.
Sites, in units of the cell vectors:
Al 0.0000 0.0000 0.0000  8 Cd 3.04, 4 Al 3.07
Cd 0.5000 0.5000 0.2534  4 P 3.00, 4 Al 3.04, 4 Cd 3.07
Cd 0.5000 0.5000 0.7466  4 P 3.00, 4 Al 3.04, 4 Cd 3.07
P 0.0000 0.0000 0.5000  8 Cd 3.00, 4 P 3.07

=====

# 10
First-principles (PBE) data for a relaxed structure of CsHg2Sb2, as listed in the Alexandria database.

Output
**Polymorph energy (0 for the lowest one)**: 0.00 eV per formula unit
**Raw formation energy**: -202.3 meV per atom
**Size of the total moment**: 0.000 Bohr magnetons per cell
**Electronic total energy**: -2.14 eV/atom
**Space-group type**: I4/mmm (139)

Cell lengths 6.7676, 6.7676, 6.7676 Å; angles 131.25, 131.25, 71.41 degrees
Last column: nearest neighbours and their distance in Å.
Sites, in units of the cell vectors:
Cs 0.0000 0.0000 0.0000  8 Hg 3.92, 10 Sb 4.05-4.21
Hg 0.2500 0.7500 0.5000  4 Sb 3.08
Hg 0.7500 0.2500 0.5000  4 Sb 3.08
Sb 0.3685 0.3685 0.0000  1 Sb 2.89, 4 Hg 3.08
Sb 0.6315 0.6315 0.0000  1 Sb 2.89, 4 Hg 3.08

=====

# 11
First-principles (PBE) data for a relaxed structure of ZrOsSe2, as listed in the Alexandria database.

Output
**Polymorph energy (0 for the lowest one)**: 1.76 eV per formula unit
**Raw formation energy**: -90.3 meV per atom
**Size of the total moment**: 0.000 Bohr magnetons per cell
**Electronic total energy**: -6.78 eV/atom
**Space-group type**: Fm-3m (225)

Cell lengths 4.6010, 4.6010, 4.6010 Å; angles 60.00, 60.00, 60.00 degrees
Last column: nearest neighbours and their distance in Å.
Sites, in units of the cell vectors:
Zr 0.0000 0.0000 0.0000  8 Se 2.82
Os 0.5000 0.5000 0.5000  8 Se 2.82
Se 0.2500 0.2500 0.2500  4 Zr 2.82, 4 Os 2.82
Se 0.7500 0.7500 0.7500  4 Zr 2.82, 4 Os 2.82

=====

# 12
First-principles (PBE) data for a relaxed structure of Ce2Al3Ge4, as listed in the Alexandria database.

Output
**Size of the total moment**: 3.686 Bohr magnetons per cell
**Energy of formation from the pure elements**: -471 meV per atom
**Electronic total energy**: -5.09 eV/atom
**Space-group type**: Cmce (64)

Cell lengths 8.0911, 8.0911, 7.9679 Å; angles 90.00, 90.00, 136.57 degrees
Last column: nearest neighbours and their distance in Å.
Sites, in units of the cell vectors:
Ce 0.1142 0.8858 0.9190  8 Ge 3.11-3.21, 4 Al 3.26-3.39
Ce 0.3858 0.6142 0.4190  8 Ge 3.11-3.21, 4 Al 3.26-3.39
Ce 0.6142 0.3858 0.5810  8 Ge 3.11-3.21, 4 Al 3.26-3.39
Ce 0.8858 0.1142 0.0810  8 Ge 3.11-3.21, 4 Al 3.26-3.39
Al 0.0000 0.0000 0.5000  6 Ge 2.59-2.80
Al 0.0348 0.4652 0.7500  3 Ge 2.54-2.65
Al 0.4652 0.0348 0.2500  3 Ge 2.54-2.65
Al 0.5000 0.5000 0.0000  6 Ge 2.59-2.80
Al 0.5348 0.9652 0.7500  3 Ge 2.54-2.65
Al 0.9652 0.5348 0.2500  3 Ge 2.54-2.65
Ge 0.1840 0.8160 0.5514  5 Al 2.65-2.87
Ge 0.2035 0.2965 0.7500  3 Al 2.54-2.59
Ge 0.2965 0.2035 0.2500  3 Al 2.54-2.59
Ge 0.3160 0.6840 0.0514  5 Al 2.65-2.87
Ge 0.6840 0.3160 0.9486  5 Al 2.65-2.87
Ge 0.7035 0.7965 0.7500  3 Al 2.54-2.59
Ge 0.7965 0.7035 0.2500  3 Al 2.54-2.59
Ge 0.8160 0.1840 0.4486  5 Al 2.65-2.87

=====

electronic total energy of number 9 (AlCd2P)? -2.44 eV/atom